(1)
Computed, not measured: crystalline TcNi2W at its relaxed geometry at the PBEsol level of DFT.

Properties
For the total magnetization, the calculation gives 0.0 Bohr magnetons per cell. The relative energy among the computed polymorphs is 75 meV/atom.

Geometry as POSCAR:
```
TcNi2W
1.0
2.5765 0.0000 0.0000
-1.2882 4.3008 -0.0023
0.0000 -0.6525 4.5607
W Ni Tc
1 2 1
Direct
0.7452 0.4904 0.2348
0.2500 0.4999 0.7535
0.9980 0.9960 0.9921
0.5068 0.0137 0.5196
```

(2)
Computed, not measured: crystalline K4P at its relaxed geometry at the PBEsol level of DFT.

Properties
For the total magnetization, the calculation gives 0.9 Bohr magnetons per cell. The relative energy among the computed polymorphs is 475 meV/atom.

Geometry as POSCAR:
```
K4P
1.0
4.8331 0.0000 0.0000
0.0000 4.8331 0.0000
-2.4166 -2.4166 10.6921
K P
4 1
Direct
0.2500 0.7500 0.5000
0.4280 0.4280 0.8560
0.7500 0.2500 0.5000
0.5720 0.5720 0.1440
0.0000 0.0000 0.0000
```

(3)
Computed, not measured: crystalline TiNbSi2B at its relaxed geometry at the PBEsol level of DFT.

Properties
For the total magnetization, the calculation gives 1.4 Bohr magnetons per cell. The calculation puts the energy relative to the elements, uncorrected at 93 kJ per mole of atoms.

Geometry as POSCAR:
```
TiNbSi2B
1.0
4.1747 0.0000 0.0000
0.0000 4.6966 0.0000
0.0000 0.0000 4.6966
Si Nb B Ti
2 1 1 1
Direct
0.0000 0.0000 0.5000
0.0000 0.5000 0.0000
0.0000 0.0000 0.0000
0.5000 0.0000 0.0000
0.5000 0.5000 0.5000
```

(4)
Computed, not measured: crystalline NbAsPO2 at its relaxed geometry at the PBEsol level of DFT.

Properties
For the total magnetization, the calculation gives 1.7 Bohr magnetons per cell. The calculation puts the energy relative to the elements, uncorrected at -14 kJ per mole of atoms.

Geometry as POSCAR:
```
NbAsPO2
1.0
-2.9723 0.1990 -2.2963
2.1652 -1.0435 -2.8931
-1.0118 -4.6204 0.9093
Nb O P As
1 2 1 1
Direct
0.5000 0.5000 0.5000
0.0000 0.5000 0.0000
0.5000 0.0000 0.0000
0.0000 0.0000 0.5000
0.0000 0.0000 0.0000
```